(1)
DFT (PBE-GGA) results for a relaxed structure of AgHg2CN.

Values from the calculation:
Energy relative to the elements, uncorrected, kJ/mol of atoms: 162.6
Total moment, μB/cell: 2.0
Energy, eV per atom: -2.516
Density, Mg/m³: 9.788
Volume, A^3/atom: 18.16

```
data_AgHg2CN
_space_group_name_H-M_alt 'P 4/m m m'
_space_group_IT_number 123
_space_group_name_Hall '-P 4 2'
_cell_length_a 4.554
_cell_length_b 4.554
_cell_length_c 4.377
_cell_angle_alpha 90.00
_cell_angle_beta 90.00
_cell_angle_gamma 90.00
loop_
_atom_site_label
_atom_site_type_symbol
_atom_site_fract_x
_atom_site_fract_y
_atom_site_fract_z
Ag1 Ag 0.000 0.000 0.000
Hg1 Hg 0.000 0.500 0.500
C1 C 0.000 0.000 0.500
N1 N 0.500 0.500 0.000
```

(2)
DFT (PBE-GGA) results for a relaxed structure of Ti2BiF.

Values from the calculation:
Relative energy among the computed polymorphs, eV per formula unit: 0.59
Energy relative to the elements, uncorrected, kJ/mol of atoms: -50.1
Total moment, μB/cell: 0.0
Energy, eV per atom: -5.905
Density, Mg/m³: 7.525
Volume, A^3/atom: 17.86

```
data_Ti2BiF
_space_group_name_H-M_alt 'F m -3 m'
_space_group_IT_number 225
_space_group_name_Hall '-F 4 2 3'
_cell_length_a 6.587
_cell_length_b 6.587
_cell_length_c 6.587
_cell_angle_alpha 90.00
_cell_angle_beta 90.00
_cell_angle_gamma 90.00
loop_
_atom_site_label
_atom_site_type_symbol
_atom_site_fract_x
_atom_site_fract_y
_atom_site_fract_z
Ti1 Ti 0.250 0.250 0.250
Bi1 Bi 0.000 0.000 0.000
F1 F 0.000 0.000 0.500
```

(3)
DFT (PBE-GGA) results for a relaxed structure of Tl2CuPt2.

Values from the calculation:
Relative energy among the computed polymorphs, eV per formula unit: 0.00
Total moment, μB/cell: 0.0
Energy, eV per atom: -4.132
Density, Mg/m³: 14.683
Volume, A^3/atom: 19.51

```
data_Tl2CuPt2
_space_group_name_H-M_alt 'P 4/m b m'
_space_group_IT_number 127
_space_group_name_Hall '-P 4 2ab'
_cell_length_a 6.883
_cell_length_b 6.883
_cell_length_c 4.118
_cell_angle_alpha 90.00
_cell_angle_beta 90.00
_cell_angle_gamma 90.00
loop_
_atom_site_label
_atom_site_type_symbol
_atom_site_fract_x
_atom_site_fract_y
_atom_site_fract_z
Tl1 Tl 0.167 0.333 0.000
Cu1 Cu 0.000 0.000 0.500
Pt1 Pt 0.144 0.644 0.500
```

(4)
DFT (PBE-GGA) results for a relaxed structure of CeTmSc2.

Values from the calculation:
Relative energy among the computed polymorphs, eV per formula unit: 0.15
Total moment, μB/cell: 2.8
Energy, eV per atom: -5.666
Density, Mg/m³: 6.087
Volume, A^3/atom: 27.21

```
data_CeTmSc2
_space_group_name_H-M_alt 'P n a 21'
_space_group_IT_number 33
_space_group_name_Hall 'P 2c -2n'
_cell_length_a 11.022
_cell_length_b 5.634
_cell_length_c 7.010
_cell_angle_alpha 90.00
_cell_angle_beta 90.00
_cell_angle_gamma 90.00
loop_
_atom_site_label
_atom_site_type_symbol
_atom_site_fract_x
_atom_site_fract_y
_atom_site_fract_z
Ce1 Ce 0.138 0.178 0.000
Tm1 Tm 0.113 0.677 0.250
Sc1 Sc 0.114 0.684 0.750
Sc2 Sc 0.131 0.176 0.500
```

(5)
DFT (PBE-GGA) results for a relaxed structure of CaAl2Tc2.

Values from the calculation:
Relative energy among the computed polymorphs, eV per formula unit: 0.00
Total moment, μB/cell: 0.0
Energy, eV per atom: -6.103
Density, Mg/m³: 5.710
Volume, A^3/atom: 16.87

```
data_CaAl2Tc2
_space_group_name_H-M_alt 'P 4/m b m'
_space_group_IT_number 127
_space_group_name_Hall '-P 4 2ab'
_cell_length_a 7.173
_cell_length_b 7.173
_cell_length_c 3.279
_cell_angle_alpha 90.00
_cell_angle_beta 90.00
_cell_angle_gamma 90.00
loop_
_atom_site_label
_atom_site_type_symbol
_atom_site_fract_x
_atom_site_fract_y
_atom_site_fract_z
Ca1 Ca 0.000 0.000 0.000
Al1 Al 0.126 0.374 0.000
Tc1 Tc 0.164 0.664 0.500
```

(6)
DFT (PBE-GGA) results for a relaxed structure of AlSb.

Values from the calculation:
Energy relative to the elements, uncorrected, kJ/mol of atoms: -16.0
Total moment, μB/cell: 0.0
Energy, eV per atom: -4.098
Density, Mg/m³: 4.078
Volume, A^3/atom: 30.28

```
data_AlSb
_space_group_name_H-M_alt 'F -4 3 m'
_space_group_IT_number 216
_space_group_name_Hall 'F -4 2 3'
_cell_length_a 6.234
_cell_length_b 6.234
_cell_length_c 6.234
_cell_angle_alpha 90.00
_cell_angle_beta 90.00
_cell_angle_gamma 90.00
loop_
_atom_site_label
_atom_site_type_symbol
_atom_site_fract_x
_atom_site_fract_y
_atom_site_fract_z
Al1 Al 0.000 0.000 0.000
Sb1 Sb 0.250 0.250 0.250
```

(7)
DFT (PBE-GGA) results for a relaxed structure of CuPb2Se2O6.

Values from the calculation:
Energy relative to the elements, uncorrected, kJ/mol of atoms: -70.6
Total moment, μB/cell: 0.9
Energy, eV per atom: -5.116
Density, Mg/m³: 6.352
Volume, A^3/atom: 17.39

```
data_CuPb2Se2O6
_space_group_name_H-M_alt 'C 1 2/m 1'
_space_group_IT_number 12
_space_group_name_Hall '-C 2y'
_cell_length_a 10.987
_cell_length_b 6.500
_cell_length_c 5.830
_cell_angle_alpha 90.00
_cell_angle_beta 113.20
_cell_angle_gamma 90.00
loop_
_atom_site_label
_atom_site_type_symbol
_atom_site_fract_x
_atom_site_fract_y
_atom_site_fract_z
Cu1 Cu 0.000 0.000 0.000
Pb1 Pb 0.166 0.000 0.670
Se1 Se 0.022 0.500 0.774
O1 O 0.009 0.193 0.759
O2 O 0.192 0.500 0.877
```

(8)
DFT (PBE-GGA) results for a relaxed structure of ZrI.

Values from the calculation:
Energy relative to the elements, uncorrected, kJ/mol of atoms: -9.4
Total moment, μB/cell: 1.4
Energy, eV per atom: -5.146
Density, Mg/m³: 6.508
Volume, A^3/atom: 27.83

```
data_ZrI
_space_group_name_H-M_alt 'P 63 m c'
_space_group_IT_number 186
_space_group_name_Hall 'P 6c -2c'
_cell_length_a 3.5789
_cell_length_b 3.5789
_cell_length_c 10.0354
_cell_angle_alpha 90.00
_cell_angle_beta 90.00
_cell_angle_gamma 120.00
loop_
_atom_site_label
_atom_site_type_symbol
_atom_site_fract_x
_atom_site_fract_y
_atom_site_fract_z
Zr1 Zr 0.3333 0.6667 0.0000
I1 I 0.3333 0.6667 0.2938
```

(9)
DFT (PBE-GGA) results for a relaxed structure of RbSn2Bi.

Values from the calculation:
Total moment, μB/cell: 0.0
Energy, eV per atom: -3.269
Density, Mg/m³: 5.554
Volume, A^3/atom: 39.76

```
data_RbSn2Bi
_space_group_name_H-M_alt 'R -3 m'
_space_group_IT_number 166
_space_group_name_Hall '-R 3 2"'
_cell_length_a 5.3329
_cell_length_b 5.3329
_cell_length_c 19.3697
_cell_angle_alpha 90.00
_cell_angle_beta 90.00
_cell_angle_gamma 120.00
loop_
_atom_site_label
_atom_site_type_symbol
_atom_site_fract_x
_atom_site_fract_y
_atom_site_fract_z
Rb1 Rb 0.0000 0.0000 0.0000
Sn1 Sn 0.0000 0.0000 0.2106
Bi1 Bi 0.0000 0.0000 0.5000
```

(10)
DFT (PBE-GGA) results for a relaxed structure of CdCu2Pt.

Values from the calculation:
Total moment, μB/cell: 0.0
Energy, eV per atom: -3.875
Density, Mg/m³: 12.050
Volume, A^3/atom: 14.97

```
data_CdCu2Pt
_space_group_name_H-M_alt 'P 1 m 1'
_space_group_IT_number 6
_space_group_name_Hall 'P -2y'
_cell_length_a 2.834
_cell_length_b 4.164
_cell_length_c 5.255
_cell_angle_alpha 90.00
_cell_angle_beta 105.07
_cell_angle_gamma 90.00
loop_
_atom_site_label
_atom_site_type_symbol
_atom_site_fract_x
_atom_site_fract_y
_atom_site_fract_z
Cd1 Cd 0.000 0.000 0.000
Cu1 Cu 0.612 0.500 0.224
Cu2 Cu 0.729 0.000 0.483
Pt1 Pt 0.336 0.500 0.685
```

(11)
DFT (PBE-GGA) results for a relaxed structure of Ca4MgIn2.

Values from the calculation:
Relative energy among the computed polymorphs, eV per formula unit: 0.00
Total moment, μB/cell: 0.0
Energy, eV per atom: -2.450
Density, Mg/m³: 3.058
Volume, A^3/atom: 32.13

```
data_Ca4MgIn2
_space_group_name_H-M_alt 'R -3 m'
_space_group_IT_number 166
_space_group_name_Hall '-R 3 2"'
_cell_length_a 5.4302
_cell_length_b 5.4302
_cell_length_c 26.4241
_cell_angle_alpha 90.00
_cell_angle_beta 90.00
_cell_angle_gamma 120.00
loop_
_atom_site_label
_atom_site_type_symbol
_atom_site_fract_x
_atom_site_fract_y
_atom_site_fract_z
Ca1 Ca 0.0000 0.0000 0.1193
Ca2 Ca 0.0000 0.0000 0.3716
Mg1 Mg 0.0000 0.0000 0.5000
In1 In 0.0000 0.0000 0.2446
```

(12)
DFT (PBE-GGA) results for a relaxed structure of LaCoMo2.

Values from the calculation:
Relative energy among the computed polymorphs, eV per formula unit: 1.46
Total moment, μB/cell: 0.0
Energy, eV per atom: -7.742
Density, Mg/m³: 9.671
Volume, A^3/atom: 16.73

```
data_LaCoMo2
_space_group_name_H-M_alt 'F m -3 m'
_space_group_IT_number 225
_space_group_name_Hall '-F 4 2 3'
_cell_length_a 6.445
_cell_length_b 6.445
_cell_length_c 6.445
_cell_angle_alpha 90.00
_cell_angle_beta 90.00
_cell_angle_gamma 90.00
loop_
_atom_site_label
_atom_site_type_symbol
_atom_site_fract_x
_atom_site_fract_y
_atom_site_fract_z
La1 La 0.000 0.000 0.000
Co1 Co 0.000 0.000 0.500
Mo1 Mo 0.250 0.250 0.250
```

(13)
DFT (PBE-GGA) results for a relaxed structure of Cs2BeCl6F.

Values from the calculation:
Energy relative to the elements, uncorrected, kJ/mol of atoms: -107.3
Total moment, μB/cell: 2.0
Energy, eV per atom: -2.950
Density, Mg/m³: 2.765
Volume, A^3/atom: 30.42

```
data_Cs2BeCl6F
_space_group_name_H-M_alt 'I 4/m m m'
_space_group_IT_number 139
_space_group_name_Hall '-I 4 2'
_cell_length_a 7.627
_cell_length_b 7.627
_cell_length_c 10.459
_cell_angle_alpha 90.00
_cell_angle_beta 90.00
_cell_angle_gamma 90.00
loop_
_atom_site_label
_atom_site_type_symbol
_atom_site_fract_x
_atom_site_fract_y
_atom_site_fract_z
Cs1 Cs 0.000 0.500 0.250
Be1 Be 0.000 0.000 0.000
Cl1 Cl 0.000 0.000 0.304
Cl2 Cl 0.193 0.193 0.000
F1 F 0.000 0.000 0.500
```

(14)
DFT (PBE-GGA) results for a relaxed structure of LiAlC.

Values from the calculation:
Total moment, μB/cell: 0.0
Energy, eV per atom: -4.693
Density, Mg/m³: 1.908
Volume, A^3/atom: 13.33

```
data_LiAlC
_space_group_name_H-M_alt 'C 1 m 1'
_space_group_IT_number 8
_space_group_name_Hall 'C -2y'
_cell_length_a 10.794
_cell_length_b 3.159
_cell_length_c 4.750
_cell_angle_alpha 90.00
_cell_angle_beta 99.15
_cell_angle_gamma 90.00
loop_
_atom_site_label
_atom_site_type_symbol
_atom_site_fract_x
_atom_site_fract_y
_atom_site_fract_z
Li1 Li 0.000 0.000 0.000
Li2 Li 0.204 0.500 0.070
Al1 Al 0.169 0.000 0.552
Al2 Al 0.394 0.000 0.465
C1 C 0.065 0.500 0.357
C2 C 0.073 0.500 0.679
```

(15)
DFT (PBE-GGA) results for a relaxed structure of YFe10Mo2.

Values from the calculation:
Total moment, μB/cell: 36.9
Energy, eV per atom: -8.681
Density, Mg/m³: 8.055
Volume, A^3/atom: 13.31

```
data_YFe10Mo2
_space_group_name_H-M_alt 'I m m m'
_space_group_IT_number 71
_space_group_name_Hall '-I 2 2'
_cell_length_a 4.726
_cell_length_b 8.524
_cell_length_c 8.590
_cell_angle_alpha 90.00
_cell_angle_beta 90.00
_cell_angle_gamma 90.00
loop_
_atom_site_label
_atom_site_type_symbol
_atom_site_fract_x
_atom_site_fract_y
_atom_site_fract_z
Y1 Y 0.000 0.000 0.000
Fe1 Fe 0.000 0.281 0.500
Fe2 Fe 0.000 0.358 0.000
Fe3 Fe 0.000 0.500 0.273
Fe4 Fe 0.250 0.250 0.250
Mo1 Mo 0.000 0.000 0.357
```

(16)
DFT (PBE-GGA) results for a relaxed structure of TbPm6Tm6.

Values from the calculation:
Total moment, μB/cell: 2.5
Energy, eV per atom: -4.349
Density, Mg/m³: 7.682
Volume, A^3/atom: 33.96

```
data_TbPm6Tm6
_space_group_name_H-M_alt 'P 6/m m m'
_space_group_IT_number 191
_space_group_name_Hall '-P 6 2'
_cell_length_a 6.6998
_cell_length_b 6.6998
_cell_length_c 11.3563
_cell_angle_alpha 90.00
_cell_angle_beta 90.00
_cell_angle_gamma 120.00
loop_
_atom_site_label
_atom_site_type_symbol
_atom_site_fract_x
_atom_site_fract_y
_atom_site_fract_z
Tb1 Tb 0.0000 0.0000 0.0000
Pm1 Pm 0.0000 0.0000 0.3419
Pm2 Pm 0.3333 0.6667 0.0000
Pm3 Pm 0.3333 0.6667 0.5000
Tm1 Tm 0.0000 0.5000 0.2448
```

(17)
DFT (PBE-GGA) results for a relaxed structure of Ba4SbPtBr2.

Values from the calculation:
Energy relative to the elements, uncorrected, kJ/mol of atoms: -131.2
Total moment, μB/cell: 0.0
Energy, eV per atom: -4.010
Density, Mg/m³: 5.202
Volume, A^3/atom: 40.93

```
data_Ba4SbPtBr2
_space_group_name_H-M_alt 'P 1 2/m 1'
_space_group_IT_number 10
_space_group_name_Hall '-P 2y'
_cell_length_a 8.390
_cell_length_b 4.809
_cell_length_c 8.548
_cell_angle_alpha 90.00
_cell_angle_beta 108.25
_cell_angle_gamma 90.00
loop_
_atom_site_label
_atom_site_type_symbol
_atom_site_fract_x
_atom_site_fract_y
_atom_site_fract_z
Ba1 Ba 0.230 0.000 0.223
Ba2 Ba 0.240 0.500 0.782
Sb1 Sb 0.500 0.000 0.000
Pt1 Pt 0.000 0.500 0.000
Br1 Br 0.000 0.000 0.500
Br2 Br 0.500 0.500 0.500
```